[1]
CoTcN2F: relaxed, GGA+U.

The energy above the most stable polymorph in this dataset is 0.000 eV per atom. As for the density of states at the Fermi level: 0.78 states/eV/atom. The total magnetic moment comes out at 2.3 μB per formula unit. The energy is -32.31 eV/cell.

Lattice parameters (Å, degrees): 3.869 3.869 4.095 90.00 90.00 90.00
Space group P4/mmm (No. 123)
Inequivalent atoms, fractional coordinates:
Co 0.000 0.000 0.000
Tc 0.500 0.500 0.500
N 0.000 0.500 0.500
F 0.500 0.500 0.000

***

[2]
CoTcN2F: relaxed, GGA+U.

The energy above the most stable polymorph in this dataset is 0.517 eV per atom. As for the density of states at the Fermi level: 0.36 states/eV/atom. The total magnetic moment comes out at 2.9 μB per formula unit. The energy is -29.72 eV/cell.

Lattice parameters (Å, degrees): 3.779 3.779 3.597 90.00 90.00 90.00
Space group P4/mmm (No. 123)
Inequivalent atoms, fractional coordinates:
Co 0.000 0.000 0.000
Tc 0.500 0.500 0.500
N 0.000 0.500 0.000
F 0.000 0.000 0.500

***

[3]
CoTeNF2: relaxed, GGA+U.

The energy above the most stable polymorph in this dataset is 0.000 eV per atom. As for the density of states at the Fermi level: 0.61 states/eV/atom. The total magnetic moment comes out at 2.2 μB per formula unit. The energy is -21.30 eV/cell.

Lattice parameters (Å, degrees): 3.854 3.854 4.510 90.00 90.00 90.00
Space group P4/mmm (No. 123)
Inequivalent atoms, fractional coordinates:
Co 0.000 0.000 0.000
Te 0.500 0.500 0.500
N 0.000 0.000 0.500
F 0.000 0.500 0.000

***

[4]
CoTe2NF: relaxed, GGA+U.

The energy above the most stable polymorph in this dataset is 0.957 eV per atom. As for the density of states at the Fermi level: 0.46 states/eV/atom. The total magnetic moment comes out at 0.2 μB per formula unit. The energy is -15.53 eV/cell.

Lattice parameters (Å, degrees): 4.798 4.798 4.562 90.00 90.00 90.00
Space group P4/mmm (No. 123)
Inequivalent atoms, fractional coordinates:
Co 0.000 0.000 0.000
Te 0.000 0.500 0.500
N 0.500 0.500 0.000
F 0.500 0.500 0.500

***

[5]
CoTe2NF: relaxed, GGA+U.

The energy above the most stable polymorph in this dataset is 0.000 eV per atom. As for the density of states at the Fermi level: 0.89 states/eV/atom. The total magnetic moment comes out at 0.0 μB per formula unit. The energy is -20.31 eV/cell.

Lattice parameters (Å, degrees): 5.205 5.205 3.318 90.00 90.00 90.00
Space group P4/mmm (No. 123)
Inequivalent atoms, fractional coordinates:
Co 0.000 0.000 0.000
Te 0.000 0.500 0.000
N 0.000 0.000 0.500
F 0.500 0.500 0.500

***

[6]
CoTeNF2: relaxed, GGA+U.

The energy above the most stable polymorph in this dataset is 0.373 eV per atom. As for the density of states at the Fermi level: 1.10 states/eV/atom. The total magnetic moment comes out at 2.7 μB per formula unit. The energy is -19.43 eV/cell.

Lattice parameters (Å, degrees): 4.524 4.524 4.151 90.00 90.00 90.00
Space group P4/mmm (No. 123)
Inequivalent atoms, fractional coordinates:
Co 0.000 0.000 0.000
Te 0.500 0.500 0.500
N 0.500 0.500 0.000
F 0.000 0.500 0.500

***

Q: Which of these has the lowest energy?
A: number 1

***

Q: Which of these has the lowest energy?
A: number 1

***

Q: Which of these has the lowest total magnetic moment?
A: number 5